Here is a relaxed NaZr2ZnF11 crystal from the Alexandria database. Energies are from GGA-PBEsol.

Structure (extended XYZ):
```
15
Lattice="-4.216 1.405 -3.504 -4.642 -2.695 1.794 -4.882 4.941 3.431" Properties=species:S:1:pos:R:3 pbc="T T T"
Zr -5.524 0.531 -0.033
Zr -8.215 3.120 1.754
F -6.722 4.053 2.596
F -7.018 -0.402 -0.875
F -5.939 -0.293 1.812
F -8.053 1.518 3.044
F -7.801 3.944 -0.091
F -4.356 0.059 -1.765
F -3.901 1.412 0.779
F -4.502 -1.349 0.054
F -6.870 1.825 0.860
F -5.687 2.133 -1.323
F -9.839 2.238 0.942
Na 0.000 0.000 0.000
Zn -2.441 2.471 1.716
```

crystal system: monoclinic
energy: -0.455 Ry per atom
magnetic moment: 0.0 μB/f.u.
energy relative to the elements, uncorrected: -3.37 eV/atom


Here is a relaxed Na3ZrF8 crystal from the Alexandria database. Energies are from GGA-PBEsol.

Structure (extended XYZ):
```
12
Lattice="5.325 0.000 0.000 0.000 5.325 0.000 -2.662 -2.662 5.345" Properties=species:S:1:pos:R:3 pbc="T T T"
Na 2.662 2.662 0.000
Na 2.662 0.000 2.672
Na 0.000 2.662 2.672
F -1.443 -1.443 4.118
F 1.220 4.105 1.227
F -1.443 1.443 4.118
F 1.443 -1.443 4.118
F 1.220 1.220 1.227
F 1.443 1.443 4.118
F 4.105 4.105 1.227
F 4.105 1.220 1.227
Zr 0.000 0.000 0.000
```

crystal system: tetragonal
energy: -0.393 Ry per atom
magnetic moment: 1.0 μB/f.u.
energy relative to the elements, uncorrected: -2.95 eV/atom


Here is a relaxed NaZr3F crystal from the Alexandria database. Energies are from GGA-PBEsol.

Structure (extended XYZ):
```
5
Lattice="-2.057 2.329 -3.893 2.204 -3.223 -3.093 -3.965 -3.000 0.300" Properties=species:S:1:pos:R:3 pbc="T T T"
Zr -1.028 1.165 -1.947
Zr 1.102 -1.612 -1.546
Zr -1.983 -1.500 0.150
Na 0.000 0.000 0.000
F -1.909 -1.947 -3.343
```

crystal system: cubic
energy: -0.338 Ry per atom
magnetic moment: 0.0 μB/f.u.
energy relative to the elements, uncorrected: 1.52 eV/atom


Here is a relaxed Na3ZrF7 crystal from the Alexandria database. Energies are from GGA-PBEsol.

Structure (extended XYZ):
```
11
Lattice="5.424 -0.045 0.007 -0.027 5.424 0.007 2.485 2.476 5.163" Properties=species:S:1:pos:R:3 pbc="T T T"
F 1.367 1.362 1.106
F 6.689 6.667 4.353
F 6.754 3.800 3.985
F 3.799 3.786 3.675
F 3.823 6.741 3.985
F 4.250 0.703 1.293
F 0.718 4.248 1.293
Na 5.147 5.130 4.925
Na 2.463 5.393 2.641
Na 5.401 2.445 2.641
Zr 2.671 2.662 5.018
```

crystal system: monoclinic
energy: -0.419 Ry per atom
magnetic moment: 0.0 μB/f.u.
energy relative to the elements, uncorrected: -3.27 eV/atom


Here is a relaxed Nb2F5 crystal from the Alexandria database. Energies are from GGA-PBEsol.

Structure (extended XYZ):
```
21
Lattice="7.129 0.000 0.000 -2.376 6.721 0.000 -2.376 -3.360 5.820" Properties=species:S:1:pos:R:3 pbc="T T T"
F 0.000 0.000 2.930
F 2.376 3.360 2.890
F 2.393 0.846 1.465
F 2.376 0.823 4.355
F 4.736 -0.846 1.465
F 0.000 2.538 1.465
F 0.016 -2.515 4.355
F 2.376 3.360 0.000
F 4.736 1.692 0.000
F -2.376 1.680 2.910
F -2.376 4.183 1.465
F -2.376 -0.823 4.355
F 2.376 -1.680 2.910
F -0.016 2.515 4.355
F 0.016 5.029 0.000
Nb 1.142 1.615 0.000
Nb 1.142 -0.808 1.399
Nb -3.610 2.553 4.421
Nb -1.142 0.808 1.399
Nb 3.610 5.105 0.000
Nb 3.610 -2.553 4.421
```

crystal system: cubic
energy: -0.527 Ry per atom
magnetic moment: 0.0 μB/f.u.
energy relative to the elements, uncorrected: -2.71 eV/atom


Here is a relaxed Nb2SiNiF crystal from the Alexandria database. Energies are from GGA-PBEsol.

Structure (extended XYZ):
```
5
Lattice="3.993 0.000 0.000 0.000 4.715 0.000 0.000 0.000 4.715" Properties=species:S:1:pos:R:3 pbc="T T T"
Si 0.000 0.000 0.000
Ni 1.997 0.000 0.000
Nb 0.000 0.000 2.358
Nb 0.000 2.358 0.000
F 1.997 2.358 2.358
```

crystal system: tetragonal
energy: -0.474 Ry per atom
magnetic moment: 0.0 μB/f.u.
energy relative to the elements, uncorrected: 0.64 eV/atom


Here is a relaxed Nb2O2F3 crystal from the Alexandria database. Energies are from GGA-PBEsol.

Structure (extended XYZ):
```
14
Lattice="5.203 0.012 -0.067 -0.015 5.739 -0.018 -2.508 -2.201 6.170" Properties=species:S:1:pos:R:3 pbc="T T T"
Nb 1.375 2.454 4.149
Nb 3.944 3.971 1.893
Nb 1.305 1.096 1.937
Nb -1.264 -0.420 4.192
F 0.339 -1.572 4.867
F 2.886 2.253 1.218
F 2.102 2.114 6.096
F -0.206 1.298 4.867
F 0.578 1.437 -0.011
F 2.341 5.123 1.218
O 2.858 3.640 3.619
O 0.244 2.782 2.450
O -0.178 -0.090 2.466
O 2.436 0.769 3.635
```

crystal system: triclinic
energy: -0.595 Ry per atom
magnetic moment: 0.9 μB/f.u.
energy relative to the elements, uncorrected: -2.68 eV/atom


Here is a relaxed Nb6O15F crystal from the Alexandria database. Energies are from GGA-PBEsol.

Structure (extended XYZ):
```
44
Lattice="3.931 0.000 0.000 0.000 9.072 0.000 0.000 0.000 16.969" Properties=species:S:1:pos:R:3 pbc="T T T"
O 1.966 7.475 7.357
O 1.966 1.596 15.841
O 0.000 3.025 0.327
O 1.966 5.299 14.798
O 0.000 1.825 5.649
O 1.966 0.386 4.242
O 0.000 4.841 12.727
O 0.000 6.046 16.643
O 0.000 1.152 11.494
O 0.000 1.152 13.960
O 0.000 7.920 5.475
O 1.966 1.596 9.613
O 0.000 0.000 0.000
O 0.000 1.825 2.836
O 0.000 3.407 10.778
O 0.000 5.665 6.191
O 0.000 5.665 2.293
O 0.000 0.000 8.485
O 0.000 4.231 4.242
O 1.966 5.299 10.656
O 0.000 7.920 3.009
O 0.000 3.407 14.676
O 1.966 8.685 12.727
O 1.966 3.773 2.171
O 1.966 3.773 6.314
O 0.000 3.025 8.158
O 0.000 7.247 11.321
O 0.000 7.247 14.133
O 0.000 6.046 8.811
O 1.966 7.475 1.128
Nb 0.000 3.628 2.151
Nb 0.000 0.544 4.242
Nb 0.000 7.420 1.023
Nb 0.000 6.234 4.242
Nb 0.000 1.651 9.507
Nb 0.000 8.527 12.727
Nb 0.000 1.651 15.947
Nb 0.000 5.444 14.818
Nb 0.000 2.838 12.727
Nb 0.000 3.628 6.333
Nb 0.000 7.420 7.462
Nb 0.000 5.444 10.636
F 1.966 2.734 12.727
F 1.966 6.338 4.242
```

crystal system: orthorhombic
energy: -0.664 Ry per atom
magnetic moment: 0.0 μB/f.u.
energy relative to the elements, uncorrected: -2.41 eV/atom